Here is K4LiZr3S8 after structural relaxation from Alexandria. Energies are from GGA-PBE.

```
data_K4LiZr3S8
_chemical_formula_sum 'K12 Li3 Zr9 S24'
_cell_length_a 7.6721
_cell_length_b 7.6721
_cell_length_c 21.9576
_cell_angle_alpha 90.00
_cell_angle_beta 90.00
_cell_angle_gamma 120.00
_symmetry_space_group_name_H-M 'R -3 m'
_symmetry_Int_Tables_number 166
_symmetry_space_group_name_Hall '-R 3 2"'
loop_
_atom_site_label
_atom_site_type_symbol
_atom_site_fract_x
_atom_site_fract_y
_atom_site_fract_z
K1 K 0.0000 0.0000 0.0000
K2 K 0.0000 0.5000 0.0000
Li1 Li 0.0000 0.0000 0.5000
Zr1 Zr 0.0000 0.5000 0.5000
S1 S 0.0000 0.0000 0.2332
S2 S 0.0101 0.5050 0.7687
```

Output
ρ ... 3.09 g/cm3
Formation energy without anion corrections ... -1471 meV per atom